Material: Sm4HgGeTe2
Method: DFT, PBE
State: relaxed

a b c (Å): 7.5148 4.3231 7.7690
angles (deg): 90.00 108.26 90.00
Space group P2/m (No. 10)
Symmetry-distinct sites (fractional):
Sm  0.2317  0.0000  0.2302 x2
Sm  0.2416  0.5000  0.7566 x2
Hg  0.5000  0.0000  0.0000 x1
Ge  0.0000  0.5000  0.0000 x1
Te  0.0000  0.0000  0.5000 x1
Te  0.5000  0.5000  0.5000 x1

The value obtained for the total magnetic moment is 0.0 μB per cell. Its crystal system is monoclinic. The uncorrected formation energy is -1.03 eV/atom. Its volume is 29.96 Å³ per atom.